No. 1
DFT (GGA-PBE) results for an optimized crystal structure of CdRuW.

Calculated values
E_form: 784 meV per atom
E above lowest polymorph: 1.60 eV per formula unit

a b c (Å): 6.1303 6.1303 6.1303
angles (deg): 90.00 90.00 90.00
Sites, in units of the cell vectors:
1 Cd 0.0000 0.0000 0.0000
2 Cd 0.0000 0.5000 0.5000
3 Cd 0.5000 0.0000 0.5000
4 Cd 0.5000 0.5000 0.0000
5 Ru 0.2500 0.2500 0.2500
6 Ru 0.2500 0.7500 0.7500
7 Ru 0.7500 0.2500 0.7500
8 Ru 0.7500 0.7500 0.2500
9 W 0.0000 0.0000 0.5000
10 W 0.0000 0.5000 0.0000
11 W 0.5000 0.0000 0.0000
12 W 0.5000 0.5000 0.5000

No. 2
DFT (GGA-PBE) results for an optimized crystal structure of KIr2W.

Calculated values
E_form: 1335 meV per atom
E above lowest polymorph: 4.23 eV per formula unit

a b c (Å): 6.4558 6.4558 6.4558
angles (deg): 90.00 90.00 90.00
Sites, in units of the cell vectors:
1 K 0.0000 0.0000 0.0000
2 K 0.0000 0.5000 0.5000
3 K 0.5000 0.0000 0.5000
4 K 0.5000 0.5000 0.0000
5 Ir 0.0000 0.0000 0.5000
6 Ir 0.0000 0.5000 0.0000
7 Ir 0.2500 0.2500 0.7500
8 Ir 0.2500 0.7500 0.2500
9 Ir 0.5000 0.0000 0.0000
10 Ir 0.5000 0.5000 0.5000
11 Ir 0.7500 0.2500 0.2500
12 Ir 0.7500 0.7500 0.7500
13 W 0.2500 0.2500 0.2500
14 W 0.2500 0.7500 0.7500
15 W 0.7500 0.2500 0.7500
16 W 0.7500 0.7500 0.2500

No. 3
DFT (GGA-PBE) results for an optimized crystal structure of DyY2Er3As6.

Calculated values
E_form: -1535 meV per atom

a b c (Å): 9.1707 9.1707 8.2024
angles (deg): 102.90 102.90 25.85
Sites, in units of the cell vectors:
1 Dy 0.0000 0.0000 0.0000
2 Y 0.3333 0.3333 0.6667
3 Y 0.6667 0.6667 0.3333
4 Er 0.0000 0.0000 0.5000
5 Er 0.3333 0.3333 0.1666
6 Er 0.6667 0.6667 0.8334
7 As 0.1660 0.1660 0.5850
8 As 0.1672 0.1672 0.0815
9 As 0.4993 0.4993 0.2512
10 As 0.5007 0.5007 0.7488
11 As 0.8328 0.8328 0.9185
12 As 0.8340 0.8340 0.4150

No. 4
DFT (GGA-PBE) results for an optimized crystal structure of DyErAlCo.

Calculated values
E_form: -217 meV per atom

a b c (Å): 6.9754 6.9754 6.9754
angles (deg): 90.00 90.00 90.00
Sites, in units of the cell vectors:
1 Dy 0.0000 0.0000 0.0000
2 Dy 0.0000 0.5000 0.5000
3 Dy 0.5000 0.0000 0.5000
4 Dy 0.5000 0.5000 0.0000
5 Er 0.0000 0.0000 0.5000
6 Er 0.0000 0.5000 0.0000
7 Er 0.5000 0.0000 0.0000
8 Er 0.5000 0.5000 0.5000
9 Al 0.2500 0.2500 0.7500
10 Al 0.2500 0.7500 0.2500
11 Al 0.7500 0.2500 0.2500
12 Al 0.7500 0.7500 0.7500
13 Co 0.2500 0.2500 0.2500
14 Co 0.2500 0.7500 0.7500
15 Co 0.7500 0.2500 0.7500
16 Co 0.7500 0.7500 0.2500

No. 5
DFT (GGA-PBE) results for an optimized crystal structure of In3Te4Pd.

Calculated values
Uncorrected formation energy: -0.2389 eV per atom

a b c (Å): 6.6359 6.6359 13.1645
angles (deg): 90.00 90.00 90.00
Sites, in units of the cell vectors:
1 In 0.0000 0.0000 0.0000
2 In 0.0000 0.5000 0.2500
3 In 0.0000 0.5000 0.7500
4 In 0.5000 0.0000 0.2500
5 In 0.5000 0.0000 0.7500
6 In 0.5000 0.5000 0.5000
7 Te 0.2335 0.2335 0.3837
8 Te 0.2335 0.7665 0.6163
9 Te 0.2665 0.2665 0.8837
10 Te 0.2665 0.7335 0.1163
11 Te 0.7335 0.2665 0.1163
12 Te 0.7335 0.7335 0.8837
13 Te 0.7665 0.2335 0.6163
14 Te 0.7665 0.7665 0.3837
15 Pd 0.0000 0.0000 0.5000
16 Pd 0.5000 0.5000 0.0000

No. 6
DFT (GGA-PBE) results for an optimized crystal structure of TlTe2W.

Calculated values
Uncorrected formation energy: 0.1824 eV per atom
E above lowest polymorph: 0.31 eV per formula unit

a b c (Å): 3.3331 3.3331 9.4695
angles (deg): 90.00 90.00 90.00
Sites, in units of the cell vectors:
1 Tl 0.0000 0.0000 0.0000
2 Te 0.5000 0.5000 0.3252
3 Te 0.5000 0.5000 0.6748
4 W 0.0000 0.0000 0.5000

No. 7
DFT (GGA-PBE) results for an optimized crystal structure of Mg3Si4.

Calculated values
Uncorrected formation energy: 0.0967 eV per atom
E above lowest polymorph: 0.31 eV per formula unit

a b c (Å): 3.9279 7.4024 9.7577
angles (deg): 78.90 80.57 89.39
Sites, in units of the cell vectors:
1 Mg 0.0000 0.0000 0.0000
2 Mg 0.0041 0.3052 0.7413
3 Mg 0.1018 0.8936 0.5970
4 Mg 0.1342 0.4538 0.4102
5 Mg 0.4677 0.6401 0.8524
6 Mg 0.6896 0.1860 0.2780
7 Si 0.1738 0.9279 0.2917
8 Si 0.3092 0.4487 0.1329
9 Si 0.5127 0.7506 0.1397
10 Si 0.5345 0.0110 0.7762
11 Si 0.5475 0.5398 0.5970
12 Si 0.5840 0.2196 0.5526
13 Si 0.6533 0.7507 0.3771
14 Si 0.8735 0.3785 0.0027

No. 8
DFT (GGA-PBE) results for an optimized crystal structure of La5CdAg4.

Calculated values
E_form: -272 meV per atom

a b c (Å): 3.8318 3.8318 19.3869
angles (deg): 90.00 90.00 90.00
Sites, in units of the cell vectors:
1 La 0.0000 0.0000 0.0000
2 La 0.0000 0.0000 0.1977
3 La 0.0000 0.0000 0.3947
4 La 0.0000 0.0000 0.6053
5 La 0.0000 0.0000 0.8023
6 Cd 0.5000 0.5000 0.5000
7 Ag 0.5000 0.5000 0.0982
8 Ag 0.5000 0.5000 0.2961
9 Ag 0.5000 0.5000 0.7039
10 Ag 0.5000 0.5000 0.9018

Please write out number 2 again, unchanged.
DFT (GGA-PBE) results for an optimized crystal structure of KIr2W.

Calculated values
E_form: 1335 meV per atom
E above lowest polymorph: 4.23 eV per formula unit

a b c (Å): 6.4558 6.4558 6.4558
angles (deg): 90.00 90.00 90.00
Sites, in units of the cell vectors:
1 K 0.0000 0.0000 0.0000
2 K 0.0000 0.5000 0.5000
3 K 0.5000 0.0000 0.5000
4 K 0.5000 0.5000 0.0000
5 Ir 0.0000 0.0000 0.5000
6 Ir 0.0000 0.5000 0.0000
7 Ir 0.2500 0.2500 0.7500
8 Ir 0.2500 0.7500 0.2500
9 Ir 0.5000 0.0000 0.0000
10 Ir 0.5000 0.5000 0.5000
11 Ir 0.7500 0.2500 0.2500
12 Ir 0.7500 0.7500 0.7500
13 W 0.2500 0.2500 0.2500
14 W 0.2500 0.7500 0.7500
15 W 0.7500 0.2500 0.7500
16 W 0.7500 0.7500 0.2500